Density functional theory data (PBE) for a relaxed Nd8YSb6 crystal.

Cell and atoms, written as CIF:
```
data_Nd8YSb6
_chemical_formula_sum 'Nd24 Y3 Sb18'
_symmetry_space_group_name_H-M 'R -3'
_symmetry_Int_Tables_number 148
_symmetry_space_group_name_Hall '-R 3'
_cell_length_a 8.2036
_cell_length_b 8.2036
_cell_length_c 25.8643
_cell_angle_alpha 90.00
_cell_angle_beta 90.00
_cell_angle_gamma 120.00
loop_
_atom_site_label
_atom_site_type_symbol
_atom_site_fract_x
_atom_site_fract_y
_atom_site_fract_z
Nd1 Nd 0.0000 0.0000 0.1668
Nd2 Nd 0.0012 0.6627 0.3787
Y1 Y 0.0000 0.0000 0.5000
Sb1 Sb 0.0008 0.6731 0.5663
```

Formation energy from raw total energies in eV per atom: -0.8179
Total DFT energy (no corrections) in eV/atom: -5.441
Spin magnetization in μB per cell: 0.0